Here is a relaxed Tb6IrPd2 crystal from the Alexandria database. Energies are from GGA-PBE.

Cell lengths 6.5823, 7.3607, 11.9195 Å; angles 90.00, 121.66, 90.00 degrees
Fractional coordinates of all 18 atoms:
Tb  0.0922  0.1835  0.4316
Tb  0.0922  0.3165  0.9316
Tb  0.2566  0.6753  0.4295
Tb  0.2566  0.8247  0.9295
Tb  0.4026  0.0419  0.2475
Tb  0.4026  0.4581  0.7475
Tb  0.5974  0.5419  0.2525
Tb  0.5974  0.9581  0.7525
Tb  0.7434  0.1753  0.0705
Tb  0.7434  0.3247  0.5705
Tb  0.9078  0.6835  0.0684
Tb  0.9078  0.8165  0.5684
Ir  0.5000  0.0000  0.5000
Ir  0.5000  0.5000  0.0000
Pd  0.1798  0.1155  0.7398
Pd  0.1798  0.3845  0.2398
Pd  0.8202  0.6155  0.7602
Pd  0.8202  0.8845  0.2602

DOS at the Fermi energy: 0.860 states/eV per atom
DFT formation energy: -0.60 eV per atom
ΔE to the lowest computed polymorph: 0.0 meV/atom
Symmetry: P2_1/c (14)
Density: 9.2 g/cm3